Record 1
MnBe2Re2 | meta-GGA SCAN | PBEsol geometry

Total magnetization: 2.79 μB per formula unit
Calculated total energy: -34.1672 eV per atom

Lattice parameters (Å, degrees): 3.1499 5.8684 5.8684 90.00 90.00 90.00
With the nearest neighbours (Å) after each atom.
Fractional coordinates of all 10 atoms:
Re 0.5000 0.1766 0.6766  6 Be 2.30-2.37
Re 0.5000 0.6766 0.8234  6 Be 2.30-2.37
Re 0.5000 0.8234 0.3234  6 Be 2.30-2.37
Re 0.5000 0.3234 0.1766  6 Be 2.30-2.37
Mn 0.0000 0.0000 0.0000  4 Be 2.34
Mn 0.0000 0.5000 0.5000  4 Be 2.34
Be 0.0000 0.3794 0.8794  1 Be 2.00
Be 0.0000 0.8794 0.6206  1 Be 2.00
Be 0.0000 0.6206 0.1206  1 Be 2.00
Be 0.0000 0.1206 0.3794  1 Be 2.00

***

Record 2
BeCd2W | meta-GGA SCAN | PBEsol geometry

Total magnetization: 0.00 μB per formula unit
Calculated total energy: -33.0823 eV per atom

Lattice parameters (Å, degrees): 2.7973 4.8441 5.5066 116.09 104.71 90.00
With the nearest neighbours (Å) after each atom.
Fractional coordinates of all 4 atoms:
Be 0.2401 0.7401 0.4803  2 W 2.43, 2 Cd 2.64
W 0.5313 0.5313 0.0625  2 Be 2.43
Cd 0.9764 0.9764 0.9527  2 Be 2.64, 2 Cd 2.80, 4 W 2.84
Cd 0.7523 0.2523 0.5045  4 Cd 2.80-2.97, 4 Be 2.80, 2 W 2.99

***

Record 3
SrScCu | meta-GGA SCAN | PBEsol geometry

Total magnetization: 0.00 μB per formula unit
Calculated total energy: -16.4628 eV per atom

Lattice parameters (Å, degrees): 4.7516 4.7516 4.7516 60.00 60.00 60.00
With the nearest neighbours (Å) after each atom.
Fractional coordinates of all 3 atoms:
Cu 0.5000 0.5000 0.5000  4 Sc 2.91
Sc 0.2500 0.2500 0.2500  4 Sr 2.91, 4 Cu 2.91
Sr 0.0000 0.0000 0.0000  4 Sc 2.91

***

Record 4
LiZnIn2 | meta-GGA SCAN | PBEsol geometry

Total magnetization: 0.00 μB per formula unit
Calculated total energy: -20.8018 eV per atom

Lattice parameters (Å, degrees): 4.3573 4.3573 5.0960 115.31 115.31 90.00
With the nearest neighbours (Å) after each atom.
Fractional coordinates of all 4 atoms:
Zn 0.5000 0.5000 0.0000  8 In 2.98, 4 Li 3.08
In 0.7500 0.2500 0.5000  4 Li 2.98, 4 Zn 2.98, 4 In 3.08
In 0.2500 0.7500 0.5000  4 Zn 2.98, 4 Li 2.98, 4 In 3.08
Li 0.0000 0.0000 0.0000  8 In 2.98, 4 Zn 3.08

***

Record 5
Li2OsCl | meta-GGA SCAN | PBEsol geometry

Total magnetization: 0.00 μB per formula unit
Energy relative to the lowest polymorph listed for this composition: 0.484 eV per atom
E_form (uncorrected): 0.088 eV/atom

Lattice parameters (Å, degrees): 2.6684 4.7884 4.7884 116.52 90.00 90.00
With the nearest neighbours (Å) after each atom.
Fractional coordinates of all 4 atoms:
Cl 0.5000 0.5000 0.5000  2 Os 2.52, 2 Cl 2.67, 8 Li 2.74
Li 0.0000 0.5000 0.0000  4 Li 2.52-2.67, 4 Os 2.74, 4 Cl 2.74
Li 0.0000 0.0000 0.5000  4 Li 2.52-2.67, 4 Cl 2.74, 4 Os 2.74
Os 0.5000 0.0000 0.0000  2 Cl 2.52, 2 Os 2.67, 8 Li 2.74

***

Record 6
ZrAlNi | meta-GGA SCAN | PBEsol geometry

Total magnetization: 0.00 μB per formula unit
Calculated total energy: -18.8643 eV per atom

Lattice parameters (Å, degrees): 5.0018 5.4512 6.8156 90.00 90.00 90.00
With the nearest neighbours (Å) after each atom.
Fractional coordinates of all 12 atoms:
Al 0.7500 0.1045 0.5520  4 Ni 2.43-2.45
Al 0.2500 0.8955 0.4480  4 Ni 2.43-2.45
Al 0.7500 0.8955 0.0520  4 Ni 2.43-2.45
Al 0.2500 0.1045 0.9480  4 Ni 2.43-2.45
Ni 0.0000 0.1860 0.2500  4 Al 2.43-2.45, 2 Ni 2.50
Ni 0.5000 0.8140 0.7500  4 Al 2.43-2.45, 2 Ni 2.50
Ni 0.0000 0.8140 0.7500  4 Al 2.43-2.45, 2 Ni 2.50
Ni 0.5000 0.1860 0.2500  4 Al 2.43-2.45, 2 Ni 2.50
Zr 0.7500 0.4024 0.8960  4 Ni 2.75-2.96, 5 Al 2.85-3.00, 2 Zr 3.07
Zr 0.2500 0.5976 0.1040  4 Ni 2.75-2.96, 5 Al 2.85-3.00, 2 Zr 3.07
Zr 0.7500 0.5976 0.3960  4 Ni 2.75-2.96, 5 Al 2.85-3.00, 2 Zr 3.07
Zr 0.2500 0.4024 0.6040  4 Ni 2.75-2.96, 5 Al 2.85-3.00, 2 Zr 3.07

***

Record 7
Sr2LiLaTi4O12 | meta-GGA SCAN | PBEsol geometry

Total magnetization: 0.00 μB per formula unit
E_form (uncorrected): -3.370 eV/atom

Lattice parameters (Å, degrees): 5.4820 5.4820 8.6660 108.44 108.44 90.00
With the nearest neighbours (Å) after each atom.
Fractional coordinates of all 20 atoms:
Sr 0.7518 0.7518 0.5035  12 O 2.74-2.77
Sr 0.2482 0.2482 0.4965  12 O 2.74-2.77
Li 0.0000 0.0000 0.0000  12 O 2.74-2.75
La 0.5000 0.5000 0.0000  12 O 2.69-2.74
Ti 0.1238 0.6238 0.2476  6 O 1.92-1.96
Ti 0.8762 0.3762 0.7524  6 O 1.92-1.96
Ti 0.6238 0.1238 0.2476  6 O 1.92-1.96
Ti 0.3762 0.8762 0.7524  6 O 1.92-1.96
O 0.3791 0.8674 0.2465  2 Ti 1.94
O 0.1326 0.6209 0.7535  2 Ti 1.94
O 0.8674 0.3791 0.2465  2 Ti 1.94
O 0.6209 0.1326 0.7535  2 Ti 1.94
O 0.2500 0.7500 0.5000  2 Ti 1.96
O 0.0000 0.5000 0.0000  2 Ti 1.92
O 0.7500 0.2500 0.5000  2 Ti 1.96
O 0.5000 0.0000 0.0000  2 Ti 1.92
O 0.3791 0.3791 0.2465  2 Ti 1.94
O 0.1326 0.1326 0.7535  2 Ti 1.94
O 0.8674 0.8674 0.2465  2 Ti 1.94
O 0.6209 0.6209 0.7535  2 Ti 1.94

***

Record 8
Ni2PPt | meta-GGA SCAN | PBEsol geometry

Total magnetization: 0.00 μB per formula unit
Calculated total energy: -28.4797 eV per atom

Lattice parameters (Å, degrees): 2.8458 4.1784 4.7373 116.17 107.48 90.00
With the nearest neighbours (Å) after each atom.
Fractional coordinates of all 4 atoms:
Ni 0.7914 0.7914 0.5827  2 P 2.20
Ni 0.2086 0.2086 0.4173  2 P 2.20
P 0.5000 0.0000 0.0000  4 Ni 2.20
Pt 0.0000 0.5000 0.0000  4 P 2.53, 8 Ni 2.68-2.73